Here is LaMoO3 after structural relaxation from the Alexandria database. Energies are from PBE with a Hubbard U.

Computed properties:
D(E_F) (states/eV per cell): 6.0
Final energy (eV per formula unit): -31.66

Structure (POSCAR):
```
LaMoO3
1.0
-4.286 1.164 -0.496
-0.181 -2.299 -3.827
-1.253 -3.651 2.252
Mo O La
1 3 1
Cartesian
-2.860 -2.393 -1.036 Mo
-0.091 -1.150 -1.914 O
-2.143 0.582 -0.248 O
-0.626 -1.825 1.126 O
0.000 0.000 0.000 La
```